Density functional theory data (PBE) for a geometry-optimized Cu3Te4 structure.

Lattice parameters (Å, degrees): 5.4194 5.4194 5.4194 90.00 90.00 90.00
Atoms (fractional coordinates):
Cu1 0.0000 0.5000 0.0000
Cu2 0.0000 0.0000 0.5000
Cu3 0.5000 0.0000 0.0000
Te1 0.0000 0.0000 0.0000
Te2 0.0000 0.5000 0.5000
Te3 0.5000 0.0000 0.5000
Te4 0.5000 0.5000 0.0000

Values from the calculation:
crystal system: cubic
raw formation energy: 9.7 kJ per mole of atoms
DOS at the Fermi energy: 0.51 states/eV per atom